No. 1
Below is a PBEsol-optimized structure of Ca2ZnRh, with properties calculated at the SCAN level.

Output
E ... -68.349 eV per formula unit
ΔE_f ... -0.4340 eV per atom
Density of states at the Fermi level ... 1.88 states/eV/f.u.

a = 4.158 Å, b = 4.161 Å, c = 5.723 Å
α = 90.00°, β = 111.30°, γ = 90.00°
Fractional positions:
Zn (0.686, 0.500, 0.373)
Rh (0.811, 0.000, 0.622)
Ca (0.108, 0.000, 0.215)
Ca (0.390, 0.500, 0.781)



No. 2
Below is a PBEsol-optimized structure of CaZn2Rh, with properties calculated at the SCAN level.

Output
E ... -71.720 eV per formula unit
ΔE_f ... -0.3138 eV per atom
Density of states at the Fermi level ... 2.06 states/eV/f.u.

a = 3.271 Å, b = 3.271 Å, c = 6.362 Å
α = 90.00°, β = 90.00°, γ = 90.00°
Fractional positions:
Ca (0.500, 0.500, 0.000)
Rh (0.500, 0.500, 0.500)
Zn (0.000, 0.000, 0.696)
Zn (0.000, 0.000, 0.304)



No. 3
Below is a PBEsol-optimized structure of CaZn2Rh, with properties calculated at the SCAN level.

Output
E ... -72.121 eV per formula unit
ΔE_f ... -0.4138 eV per atom
Density of states at the Fermi level ... 1.96 states/eV/f.u.

a = 4.218 Å, b = 4.222 Å, c = 5.529 Å
α = 112.39°, β = 90.00°, γ = 119.97°
Fractional positions:
Zn (0.795, 0.590, 0.885)
Zn (0.205, 0.410, 0.115)
Rh (0.500, 0.000, 0.000)
Ca (0.000, 0.000, 0.500)



No. 4
Below is a PBEsol-optimized structure of CaZrRh3, with properties calculated at the SCAN level.

Output
E ... -140.816 eV per formula unit
ΔE_f ... 0.1722 eV per atom
Density of states at the Fermi level ... 4.14 states/eV/f.u.

a = 4.754 Å, b = 4.754 Å, c = 4.754 Å
α = 90.00°, β = 90.00°, γ = 90.00°
Fractional positions:
Ca (0.500, 0.500, 0.500)
Rh (0.000, 0.500, 0.000)
Rh (0.000, 0.000, 0.500)
Rh (0.500, 0.000, 0.000)
Zr (0.000, 0.000, 0.000)



No. 5
Below is a PBEsol-optimized structure of CaZr2Rh, with properties calculated at the SCAN level.

Output
E ... -105.133 eV per formula unit
ΔE_f ... -0.0751 eV per atom
Density of states at the Fermi level ... 4.46 states/eV/f.u.

a = 3.402 Å, b = 3.402 Å, c = 9.664 Å
α = 79.86°, β = 79.86°, γ = 60.00°
Fractional positions:
Ca (0.500, 0.500, 0.500)
Rh (0.000, 0.000, 0.000)
Zr (0.272, 0.272, 0.185)
Zr (0.728, 0.728, 0.815)



No. 6
Below is a PBEsol-optimized structure of CaZr2Rh, with properties calculated at the SCAN level.

Output
E ... -104.088 eV per formula unit
ΔE_f ... 0.1860 eV per atom
Density of states at the Fermi level ... 3.32 states/eV/f.u.

a = 3.052 Å, b = 5.485 Å, c = 5.561 Å
α = 119.55°, β = 90.00°, γ = 90.00°
Fractional positions:
Ca (0.500, 0.000, 0.000)
Rh (0.500, 0.500, 0.000)
Zr (0.000, 0.500, 0.500)
Zr (0.000, 0.000, 0.500)



No. 7
Below is a PBEsol-optimized structure of Ca5Ru, with properties calculated at the SCAN level.

Output
E ... -82.439 eV per formula unit
ΔE_f ... 0.1174 eV per atom
Density of states at the Fermi level ... 4.42 states/eV/f.u.

a = 3.579 Å, b = 6.672 Å, c = 9.061 Å
α = 70.09°, β = 78.61°, γ = 74.44°
Site moments in Bohr magnetons follow the coordinates.
Fractional positions:
Ru (0.000, 0.000, 0.000)  0.07
Ca (0.379, 0.360, 0.881)  0.00
Ca (0.000, 0.500, 0.500)  -0.01
Ca (0.621, 0.640, 0.119)  0.00
Ca (0.660, 0.943, 0.736)  -0.01
Ca (0.340, 0.057, 0.264)  -0.01



No. 8
Below is a PBEsol-optimized structure of Ca3Ru, with properties calculated at the SCAN level.

Output
E ... -62.516 eV per formula unit
ΔE_f ... 0.3252 eV per atom
Density of states at the Fermi level ... 0.95 states/eV/f.u.

a = 5.157 Å, b = 5.188 Å, c = 5.157 Å
α = 119.80°, β = 90.00°, γ = 119.80°
Fractional positions:
Ru (0.000, 0.000, 0.000)
Ca (0.750, 0.500, 0.250)
Ca (0.500, 0.000, 0.500)
Ca (0.250, 0.500, 0.750)



No. 9
Below is a PBEsol-optimized structure of Ca2Ru, with properties calculated at the SCAN level.

Output
E ... -52.577 eV per formula unit
ΔE_f ... 0.5255 eV per atom
Density of states at the Fermi level ... 2.29 states/eV/f.u.

a = 2.937 Å, b = 4.981 Å, c = 4.981 Å
α = 120.00°, β = 90.00°, γ = 90.00°
Site moments in Bohr magnetons follow the coordinates.
Fractional positions:
Ru (0.500, 0.000, 0.000)  0.75
Ca (0.000, 0.333, 0.667)  -0.02
Ca (0.000, 0.667, 0.333)  -0.02



No. 10
Below is a PBEsol-optimized structure of CaRu, with properties calculated at the SCAN level.

Output
E ... -43.976 eV per formula unit
ΔE_f ... 0.2567 eV per atom
Density of states at the Fermi level ... 2.75 states/eV/f.u.

a = 4.560 Å, b = 4.901 Å, c = 4.901 Å
α = 120.00°, β = 90.00°, γ = 90.00°
Fractional positions:
Ru (0.000, 0.000, 0.000)
Ru (0.500, 0.000, 0.000)
Ca (0.750, 0.667, 0.333)
Ca (0.250, 0.333, 0.667)



No. 11
Below is a PBEsol-optimized structure of CaRu, with properties calculated at the SCAN level.

Output
E ... -43.152 eV per formula unit
ΔE_f ... 0.6688 eV per atom
Density of states at the Fermi level ... 2.13 states/eV/f.u.

a = 3.052 Å, b = 3.052 Å, c = 4.569 Å
α = 90.00°, β = 90.00°, γ = 120.00°
Site moments in Bohr magnetons follow the coordinates.
Fractional positions:
Ru (0.333, 0.667, 0.500)  0.41
Ca (0.000, 0.000, 0.000)  -0.01



No. 12
Below is a PBEsol-optimized structure of Ca3Ru, with properties calculated at the SCAN level.

Output
E ... -62.969 eV per formula unit
ΔE_f ... 0.2119 eV per atom
Density of states at the Fermi level ... 3.62 states/eV/f.u.

a = 3.486 Å, b = 3.486 Å, c = 9.230 Å
α = 90.00°, β = 90.00°, γ = 89.94°
Fractional positions:
Ru (0.500, 0.500, 0.500)
Ca (0.000, 0.000, 0.328)
Ca (0.500, 0.500, 0.000)
Ca (0.000, 0.000, 0.672)